Record 1
{
  "formula": "La3PuSi4",
  "functional": "PBE",
  "state": "relaxed",
  "cell": [[4.321, 0.000, 0.000], [0.000, 6.366, -0.741], [-2.161, -2.255, 8.344]],
  "species": ["La", "La", "La", "Pu", "Si", "Si", "Si", "Si"],
  "fractional_positions": [[0.000, 0.500, 0.000], [0.192, 0.192, 0.383], [0.808, 0.808, 0.617], [0.500, 0.000, 0.000], [0.372, 0.556, 0.745], [0.628, 0.444, 0.255], [0.628, 0.811, 0.255], [0.372, 0.189, 0.745]]
}



Record 2
{
  "formula": "Nd8Si3PtBr4",
  "functional": "PBE",
  "state": "relaxed",
  "cell": [[-3.570, 7.734, -0.937], [0.790, -0.694, -8.738], [-4.140, -6.136, 4.316]],
  "species": ["Nd", "Nd", "Nd", "Nd", "Nd", "Nd", "Nd", "Nd", "Si", "Si", "Si", "Pt", "Br", "Br", "Br", "Br"],
  "fractional_positions": [[0.236, 0.711, 0.975], [0.236, 0.711, 0.472], [0.262, 0.286, 0.524], [0.739, 0.711, 0.975], [0.261, 0.289, 0.025], [0.738, 0.714, 0.476], [0.764, 0.289, 0.528], [0.764, 0.289, 0.025], [0.500, 0.500, 0.000], [0.500, 0.500, 0.500], [0.000, 0.500, 0.500], [0.000, 0.500, 0.000], [0.500, 0.000, 0.000], [0.500, 0.000, 0.500], [0.000, 0.000, 0.000], [0.000, 0.000, 0.500]]
}



Formation energy without anion corrections (computed, kJ per mole of atoms): -43.7 -105.1